The following is a GGA-PBE calculation of V3FePd after structural relaxation, from Alexandria via LeMat-Bulk.

Properties
relative energy among the computed polymorphs = 0.0 meV/atom

Unit cell a=4.263 b=4.263 c=4.263 alpha=90.00 beta=90.00 gamma=90.00
Space group Pm-3m (No. 221)
Symmetry-distinct sites (fractional):
V1 0.000 0.000 0.500 [3 per cell]
Fe1 0.000 0.000 0.000 [1 per cell]
Pd1 0.500 0.500 0.500 [1 per cell]